VASP calculation (SCAN) on SiSbOs2 at its PBEsol-relaxed geometry.

CIF file:
```
data_SiSbOs2
_chemical_formula_sum 'Si1 Sb1 Os2'
_symmetry_space_group_name_H-M 'P 4/m m m'
_symmetry_Int_Tables_number 123
_symmetry_space_group_name_Hall '-P 4 2'
_cell_length_a 4.378
_cell_length_b 4.378
_cell_length_c 3.133
_cell_angle_alpha 90.00
_cell_angle_beta 90.00
_cell_angle_gamma 90.00
loop_
_atom_site_label
_atom_site_type_symbol
_atom_site_fract_x
_atom_site_fract_y
_atom_site_fract_z
Si1 Si 0.000 0.000 0.000
Sb1 Sb 0.500 0.500 0.000
Os1 Os 0.000 0.500 0.500
```

Computed properties:
The uncorrected formation energy comes out at 361 meV/atom. For the density, the calculation gives 14.7 g cm⁻³. For the energy above the most stable polymorph in this dataset, the calculation gives 2.1 kJ per mole of atoms. Its electronic total energy is -47.3977 eV/atom.